Density functional theory data (GGA-PBEsol) for a relaxed Sr2CaIr crystal.

Values from the calculation:
* formation energy: -56 meV/atom
* energy above the lowest structure with this stoichiometry: 0.000 eV/f.u.
* space-group type: Cm
* crystal system: monoclinic

a b c (Å): 6.0238 6.0238 6.9905
angles (deg): 114.81 114.81 38.35
With the nearest neighbours (Å) after each atom.
Positions (direct):
Sr (0.0000, 0.0000, 0.0000)  2 Ir 2.92
Sr (0.1758, 0.1758, 0.6793)  3 Ir 3.13-3.27
Ca (0.8292, 0.8292, 0.3707)  2 Ir 2.78
Ir (0.4605, 0.4605, 0.6697)  2 Ca 2.78, 2 Sr 2.92


Density functional theory data (GGA-PBEsol) for a relaxed ZnSeO4 crystal.

Values from the calculation:
* space-group type: Cmcm
* crystal system: orthorhombic
* formation energy (no corrections): -0.90 eV per atom

a b c (Å): 4.9217 4.9217 6.5347
angles (deg): 90.00 90.00 112.32
With the nearest neighbours (Å) after each atom.
Positions (direct):
Zn (0.0000, 0.0000, 0.0000)  6 O 2.01-2.15
Zn (0.0000, 0.0000, 0.5000)  6 O 2.01-2.15
Se (0.3505, 0.6495, 0.7500)  4 O 1.65-1.69
Se (0.6495, 0.3505, 0.2500)  4 O 1.65-1.69
O (0.2257, 0.2780, 0.7500)  1 Se 1.69
O (0.2437, 0.7563, 0.5359)  1 Se 1.65
O (0.2437, 0.7563, 0.9641)  1 Se 1.65
O (0.2780, 0.2257, 0.2500)  1 Se 1.69
O (0.7220, 0.7743, 0.7500)  1 Se 1.69
O (0.7563, 0.2437, 0.0359)  1 Se 1.65
O (0.7563, 0.2437, 0.4641)  1 Se 1.65
O (0.7743, 0.7220, 0.2500)  1 Se 1.69


Please write out number 1 again, unchanged.
Density functional theory data (GGA-PBEsol) for a relaxed Sr2CaIr crystal.

Values from the calculation:
* formation energy: -56 meV/atom
* energy above the lowest structure with this stoichiometry: 0.000 eV/f.u.
* space-group type: Cm
* crystal system: monoclinic

a b c (Å): 6.0238 6.0238 6.9905
angles (deg): 114.81 114.81 38.35
With the nearest neighbours (Å) after each atom.
Positions (direct):
Sr (0.0000, 0.0000, 0.0000)  2 Ir 2.92
Sr (0.1758, 0.1758, 0.6793)  3 Ir 3.13-3.27
Ca (0.8292, 0.8292, 0.3707)  2 Ir 2.78
Ir (0.4605, 0.4605, 0.6697)  2 Ca 2.78, 2 Sr 2.92